1.
Entry from Alexandria via LeMat-Bulk: a relaxed PmTmMnAg crystal (PBE).

Output
M_tot = 3.26 μB per formula unit
Total energy = -84.80 eV for the cell shown

```
data_PmTmMnAg
_symmetry_space_group_name_H-M 'F -4 3 m'
_symmetry_Int_Tables_number 216
_symmetry_space_group_name_Hall 'F -4 2 3'
_cell_length_a 7.245
_cell_length_b 7.245
_cell_length_c 7.245
_cell_angle_alpha 90.00
_cell_angle_beta 90.00
_cell_angle_gamma 90.00
loop_
_atom_site_label
_atom_site_type_symbol
_atom_site_fract_x
_atom_site_fract_y
_atom_site_fract_z
Pm1 Pm 0.000 0.000 0.000
Tm1 Tm 0.000 0.000 0.500
Mn1 Mn 0.250 0.250 0.250
Ag1 Ag 0.250 0.250 0.750
```

2.
Entry from Alexandria via LeMat-Bulk: a relaxed Pu2PaGe2 crystal (PBE).

Output
M_tot = 12.55 μB per formula unit
Relative energy among the computed polymorphs = 96.9 meV per atom
Total energy = -97.55 eV for the cell shown

```
data_Pu2PaGe2
_symmetry_space_group_name_H-M 'P 63/m m c'
_symmetry_Int_Tables_number 194
_symmetry_space_group_name_Hall '-P 6c 2c'
_cell_length_a 4.7272
_cell_length_b 4.7272
_cell_length_c 12.0421
_cell_angle_alpha 90.00
_cell_angle_beta 90.00
_cell_angle_gamma 120.00
loop_
_atom_site_label
_atom_site_type_symbol
_atom_site_fract_x
_atom_site_fract_y
_atom_site_fract_z
Pu1 Pu 0.3333 0.6667 0.0459
Pa1 Pa 0.3333 0.6667 0.7500
Ge1 Ge 0.0000 0.0000 0.1333
```

3.
Entry from Alexandria via LeMat-Bulk: a relaxed Pr4PbAu crystal (PBE).

Output
M_tot = 0.00 μB per formula unit
Relative energy among the computed polymorphs = 31.8 meV per atom
Total energy = -114.25 eV for the cell shown

```
data_Pr4PbAu
_symmetry_space_group_name_H-M 'C 1 2/c 1'
_symmetry_Int_Tables_number 15
_cell_length_a 9.079
_cell_length_b 14.461
_cell_length_c 6.213
_cell_angle_alpha 90.00
_cell_angle_beta 112.20
_cell_angle_gamma 90.00
loop_
_symmetry_equiv_pos_as_xyz
'x,y,z'
'-x,-y,-z'
'-x,y,-z+1/2'
'x,-y,z+1/2'
'x+1/2,y+1/2,z'
'-x+1/2,-y+1/2,-z'
'-x+1/2,y+1/2,-z+1/2'
'x+1/2,-y+1/2,z+1/2'
loop_
_atom_site_label
_atom_site_type_symbol
_atom_site_fract_x
_atom_site_fract_y
_atom_site_fract_z
Pr1 Pr 0.111 0.189 0.069
Pr2 Pr 0.208 0.419 0.350
Pb1 Pb 0.000 0.383 0.750
Au1 Au 0.000 0.003 0.750
```

4.
Entry from Alexandria via LeMat-Bulk: a relaxed SrIn4Cu9 crystal (PBE).

Output
M_tot = 0.00 μB per formula unit
Total energy = -202.41 eV for the cell shown

```
data_SrIn4Cu9
_symmetry_space_group_name_H-M 'I 4/m c m'
_symmetry_Int_Tables_number 140
_symmetry_space_group_name_Hall '-I 4 2c'
_cell_length_a 8.790
_cell_length_b 8.790
_cell_length_c 12.397
_cell_angle_alpha 90.00
_cell_angle_beta 90.00
_cell_angle_gamma 90.00
loop_
_atom_site_label
_atom_site_type_symbol
_atom_site_fract_x
_atom_site_fract_y
_atom_site_fract_z
Sr1 Sr 0.000 0.000 0.250
In1 In 0.189 0.311 0.126
Cu1 Cu 0.000 0.500 0.000
Cu2 Cu 0.054 0.203 0.500
Cu3 Cu 0.104 0.396 0.327
```